{
  "formula": "NaCa3H8Rh2",
  "functional": "PBE",
  "state": "optimized geometry",
  "lattice": [[-0.767, 5.095, 1.275], [1.016, -3.562, 3.801], [7.079, 1.247, -0.724]],
  "species": ["Ca", "Ca", "H", "H", "Rh", "H", "Ca", "Rh", "H", "H", "H", "H", "H", "Na"],
  "fractional_positions": [[0.000, 0.000, 0.000], [0.333, 0.667, 0.702], [0.150, 0.850, 0.261], [0.300, 0.150, 0.739], [0.667, 0.333, 0.752], [0.150, 0.300, 0.261], [0.667, 0.333, 0.298], [0.333, 0.667, 0.248], [0.850, 0.150, 0.739], [0.333, 0.667, 0.025], [0.667, 0.333, 0.975], [0.700, 0.850, 0.261], [0.850, 0.700, 0.739], [0.000, 0.000, 0.500]],
  "final_energy_ha_per_atom": -0.1396,
  "n_ef_per_ev_atom": 0.43,
  "magmom_total_mub_per_fu": 0.00,
  "space_group": "P-3m1 (164)",
  "rho_g_cm3": 3.36
}